No. 1
This record from the Alexandria database describes a relaxed structure of Na2Sm3YTe6. The functional is PBE.

Cell lengths 7.695, 7.695, 7.768 Å; angles 99.49, 99.49, 119.95 degrees
Sites, in units of the cell vectors:
Na: 0.166 0.834 0.000
Na: 0.834 0.166 0.000
Sm: 0.000 0.000 0.500
Sm: 0.330 0.670 0.500
Sm: 0.670 0.330 0.500
Y: 0.500 0.500 0.000
Te: 0.089 0.418 0.753
Te: 0.256 0.256 0.251
Te: 0.418 0.089 0.753
Te: 0.582 0.911 0.247
Te: 0.744 0.744 0.749
Te: 0.911 0.582 0.247

Results
- ΔE_f (raw): -1.34 eV per atom
- Uncorrected energy: -4.8523 eV/atom
- Spin magnetization: 0.00 μB per formula unit
- SG: C2/m, No. 12
- Theoretical density: 6.0 g/cm3

No. 2
This record from the Alexandria database describes a relaxed structure of Na3SmY2Te6. The functional is PBE.

Cell lengths 7.715, 7.715, 7.995 Å; angles 99.26, 99.26, 120.01 degrees
Sites, in units of the cell vectors:
Na: 0.000 0.000 0.000
Na: 0.334 0.666 0.000
Na: 0.666 0.334 0.000
Sm: 0.500 0.500 0.500
Y: 0.167 0.833 0.500
Y: 0.833 0.167 0.500
Te: 0.084 0.422 0.266
Te: 0.240 0.240 0.734
Te: 0.422 0.084 0.266
Te: 0.578 0.916 0.734
Te: 0.760 0.760 0.266
Te: 0.916 0.578 0.734

Results
- ΔE_f (raw): -1.33 eV per atom
- Uncorrected energy: -4.7009 eV/atom
- Spin magnetization: 0.00 μB per formula unit
- SG: C2/m, No. 12
- Theoretical density: 4.9 g/cm3

No. 3
This record from the Alexandria database describes a relaxed structure of NaSm3Y2Te6. The functional is PBE.

Cell lengths 9.908, 9.908, 8.894 Å; angles 103.13, 103.13, 25.72 degrees
Sites, in units of the cell vectors:
Na: 0.000 0.000 0.000
Sm: 0.000 0.000 0.500
Sm: 0.337 0.337 0.176
Sm: 0.663 0.663 0.824
Y: 0.333 0.333 0.660
Y: 0.667 0.667 0.340
Te: 0.168 0.168 0.087
Te: 0.168 0.168 0.580
Te: 0.496 0.496 0.751
Te: 0.504 0.504 0.249
Te: 0.832 0.832 0.420
Te: 0.832 0.832 0.913

Results
- ΔE_f (raw): -1.35 eV per atom
- Uncorrected energy: -5.2895 eV/atom
- Spin magnetization: 0.00 μB per formula unit
- SG: C2/m, No. 12
- Theoretical density: 6.4 g/cm3

No. 4
This record from the Alexandria database describes a relaxed structure of NaSm4Y3Te8. The functional is PBE.

Cell lengths 8.845, 8.845, 8.845 Å; angles 59.86, 59.86, 59.86 degrees
Sites, in units of the cell vectors:
Na: 0.000 0.000 0.000
Sm: 0.000 0.000 0.500
Sm: 0.000 0.500 0.000
Sm: 0.500 0.000 0.000
Sm: 0.500 0.500 0.500
Y: 0.000 0.500 0.500
Y: 0.500 0.000 0.500
Y: 0.500 0.500 0.000
Te: 0.247 0.247 0.748
Te: 0.247 0.748 0.247
Te: 0.252 0.252 0.252
Te: 0.252 0.753 0.753
Te: 0.748 0.247 0.247
Te: 0.748 0.748 0.748
Te: 0.753 0.252 0.753
Te: 0.753 0.753 0.252

Results
- ΔE_f (raw): -1.35 eV per atom
- Uncorrected energy: -5.3945 eV/atom
- Spin magnetization: 0.00 μB per formula unit
- SG: R-3m, No. 166
- Theoretical density: 6.5 g/cm3

No. 5
This record from the Alexandria database describes a relaxed structure of Na2SmYTe4. The functional is PBE.

Cell lengths 7.733, 4.466, 8.004 Å; angles 90.00, 108.81, 90.00 degrees
Sites, in units of the cell vectors:
Na: 0.000 0.000 0.000
Na: 0.500 0.500 0.000
Sm: 0.000 0.500 0.500
Y: 0.500 0.000 0.500
Te: 0.249 0.000 0.736
Te: 0.259 0.500 0.267
Te: 0.741 0.500 0.733
Te: 0.751 0.000 0.264

Results
- ΔE_f (raw): -1.33 eV per atom
- Uncorrected energy: -4.6268 eV/atom
- Spin magnetization: 0.00 μB per formula unit
- SG: P2/m, No. 10
- Theoretical density: 5.1 g/cm3

No. 6
This record from the Alexandria database describes a relaxed structure of Na4SmY3Te8. The functional is PBE.

Cell lengths 9.148, 9.148, 9.148 Å; angles 58.20, 58.20, 58.20 degrees
Sites, in units of the cell vectors:
Na: 0.000 0.000 0.000
Na: 0.000 0.500 0.500
Na: 0.500 0.000 0.500
Na: 0.500 0.500 0.000
Sm: 0.500 0.500 0.500
Y: 0.000 0.000 0.500
Y: 0.000 0.500 0.000
Y: 0.500 0.000 0.000
Te: 0.241 0.747 0.747
Te: 0.244 0.244 0.244
Te: 0.253 0.253 0.759
Te: 0.253 0.759 0.253
Te: 0.747 0.241 0.747
Te: 0.747 0.747 0.241
Te: 0.756 0.756 0.756
Te: 0.759 0.253 0.253

Results
- ΔE_f (raw): -1.33 eV per atom
- Uncorrected energy: -4.7373 eV/atom
- Spin magnetization: 0.00 μB per formula unit
- SG: R-3m, No. 166
- Theoretical density: 4.9 g/cm3

No. 7
This record from the Alexandria database describes a relaxed structure of NaSm2YTe4. The functional is PBE.

Cell lengths 7.703, 4.406, 7.709 Å; angles 90.00, 108.96, 90.00 degrees
Sites, in units of the cell vectors:
Na: 0.000 0.000 0.000
Sm: 0.000 0.500 0.500
Sm: 0.500 0.000 0.500
Y: 0.500 0.500 0.000
Te: 0.251 0.500 0.247
Te: 0.253 0.000 0.756
Te: 0.747 0.000 0.244
Te: 0.749 0.500 0.753

Results
- ΔE_f (raw): -1.35 eV per atom
- Uncorrected energy: -5.0720 eV/atom
- Spin magnetization: 0.00 μB per formula unit
- SG: P2/m, No. 10
- Theoretical density: 6.2 g/cm3

No. 8
This record from the Alexandria database describes a relaxed structure of NaSm3Y3Te8. The functional is PBE.

Cell lengths 8.797, 8.797, 8.797 Å; angles 59.96, 59.96, 59.96 degrees
Sites, in units of the cell vectors:
Na: 0.000 0.000 0.000
Sm: 0.000 0.000 0.500
Sm: 0.000 0.500 0.000
Sm: 0.500 0.000 0.000
Y: 0.000 0.500 0.500
Y: 0.500 0.000 0.500
Y: 0.500 0.500 0.000
Te: 0.252 0.252 0.252
Te: 0.256 0.256 0.740
Te: 0.256 0.740 0.256
Te: 0.260 0.744 0.744
Te: 0.740 0.256 0.256
Te: 0.744 0.260 0.744
Te: 0.744 0.744 0.260
Te: 0.748 0.748 0.748

Results
- ΔE_f (raw): -1.36 eV per atom
- Uncorrected energy: -5.3622 eV/atom
- Spin magnetization: 0.00 μB per formula unit
- SG: R-3m, No. 166
- Theoretical density: 6.1 g/cm3